# 1
First-principles (PBE-GGA) data for a relaxed structure of TaSn2HgI, as listed in the Alexandria database.

Cell lengths 5.513, 5.543, 5.513 Å; angles 90.00, 90.00, 90.00 degrees
Last column: magnetic moment on the atom in μB.
Sites, in units of the cell vectors:
Hg 0.000 0.500 0.000  0.07
Ta 0.000 0.000 0.000  0.78
Sn 0.500 0.000 0.000  0.06
Sn 0.000 0.000 0.500  0.10
I 0.500 0.500 0.500  0.18

Summary:
Mass density   7.351 g/cm3
VASP energy   -3.8235 eV per atom
SG   P4/mmm (123)

***

# 2
First-principles (PBE-GGA) data for a relaxed structure of CeThO2, as listed in the Alexandria database.

Cell lengths 3.874, 3.874, 6.856 Å; angles 73.59, 73.59, 60.00 degrees
Last column: magnetic moment on the atom in μB.
Sites, in units of the cell vectors:
O 0.878 0.878 0.366  0.01
Th 0.500 0.500 0.500  0.12
O 0.122 0.122 0.634  0.01
Ce 0.000 0.000 0.000  1.05

Summary:
Mass density   7.968 g/cm3
VASP energy   -8.5511 eV per atom
SG   R-3m (166)

***

# 3
First-principles (PBE-GGA) data for a relaxed structure of Tb2Sm5DySc, as listed in the Alexandria database.

Cell lengths 5.558, 10.563, 10.415 Å; angles 90.00, 90.00, 105.25 degrees
Sites, in units of the cell vectors:
Sm 0.015 0.030 0.012
Sm 0.486 0.972 0.744
Tb 0.115 0.231 0.738
Sm 0.627 0.254 0.519
Sm 0.703 0.405 0.206
Tb 0.113 0.226 0.306
Dy 0.404 0.809 0.463
Sm 0.514 0.028 0.244
Sm 0.725 0.451 0.820
Sm 0.373 0.746 0.019
Sm 0.297 0.595 0.706
Dy 0.596 0.191 0.963
Sc 0.805 0.610 0.514
Tb 0.885 0.769 0.238
Tb 0.887 0.774 0.806
Sm 0.275 0.549 0.320
Sc 0.195 0.390 0.014
Sm 0.985 0.970 0.512

Summary:
Mass density   7.189 g/cm3
SG   Cmc2_1 (36)
DFT formation energy   157 meV/atom